Crystalline NaSrCoSi at its relaxed geometry. Source: Alexandria via LeMat-Bulk, functional GGA-PBE.

The space group is P4/nmm (No. 129, origin choice 2) and the conventional cell measures 4.041, 4.041 and 12.303 Å, with angles of 90.00, 90.00 and 90.00 degrees. Symmetry generates all atoms from Na at (0.250, 0.750, 0.000), Sr at (0.250, 0.250, 0.290), Co at (0.250, 0.750, 0.500) and Si at (0.250, 0.250, 0.588).

For the energy relative to the elements, uncorrected, the calculation gives -0.258 eV/atom. The value obtained for the total energy is -4.140 eV per atom.



Crystalline PrIrRh at its relaxed geometry. Source: Alexandria via LeMat-Bulk, functional GGA-PBE.

The space group is Imma (No. 74) and the conventional cell measures 5.414, 5.469 and 7.735 Å, with angles of 90.00, 90.00 and 90.00 degrees. Symmetry generates all atoms from Pr at (0.000, 0.250, 0.123), Ir at (0.250, 0.250, 0.750) and Rh at (0.000, 0.000, 0.500).

The value obtained for the total energy is -7.647 eV per atom.



Crystalline Ba2NaIr at its relaxed geometry. Source: Alexandria via LeMat-Bulk, functional GGA-PBE.

The space group is Fm-3m (No. 225) and the conventional cell measures 7.964, 7.964 and 7.964 Å, with angles of 90.00, 90.00 and 90.00 degrees. Symmetry generates all atoms from Ba at (0.250, 0.250, 0.250), Na at (0.000, 0.000, 0.000) and Ir at (0.000, 0.000, 0.500).

The value obtained for the total energy is -3.425 eV per atom. The energy relative to the lowest polymorph listed for this composition comes out at 0.69 eV per formula unit.



Crystalline La2Pr7 at its relaxed geometry. Source: Alexandria via LeMat-Bulk, functional GGA-PBE.

The space group is P-31m (No. 162) and the conventional cell measures 6.4577, 6.4577 and 9.0688 Å, with angles of 90.00, 90.00 and 120.00 degrees. Symmetry generates all atoms from La at (0.3333, 0.6667, 0.0000), Pr at (0.0000, 0.0000, 0.0000) and Pr at (0.0000, 0.3326, 0.6661).

The value obtained for the total energy is -4.803 eV per atom. The energy relative to the lowest polymorph listed for this composition comes out at 0.00 eV per formula unit.



Crystalline TeSIN2 at its relaxed geometry. Source: Alexandria via LeMat-Bulk, functional GGA-PBE.

The space group is P4/mmm (No. 123) and the conventional cell measures 4.126, 4.126 and 5.953 Å, with angles of 90.00, 90.00 and 90.00 degrees. Symmetry generates all atoms from Te at (0.000, 0.000, 0.000), S at (0.000, 0.000, 0.500), I at (0.500, 0.500, 0.000) and N at (0.000, 0.500, 0.500).

For the energy relative to the elements, uncorrected, the calculation gives 1.865 eV/atom. The value obtained for the total energy is -3.229 eV per atom. The energy relative to the lowest polymorph listed for this composition comes out at 2.18 eV per formula unit.



Crystalline ZrTi2AuO at its relaxed geometry. Source: Alexandria via LeMat-Bulk, functional GGA-PBE.

The space group is Cmcm (No. 63) and the conventional cell measures 2.948, 14.128 and 7.520 Å, with angles of 90.00, 90.00 and 90.00 degrees. Symmetry generates all atoms from Zr at (0.000, 0.024, 0.250), Ti at (0.000, 0.361, 0.072), Au at (0.000, 0.281, 0.750) and O at (0.000, 0.500, 0.000).

For the energy relative to the elements, uncorrected, the calculation gives -1.055 eV/atom. The value obtained for the total energy is -7.570 eV per atom. The energy relative to the lowest polymorph listed for this composition comes out at 1.04 eV per formula unit.